Ca4Sm3UAs8 (PBE, optimized geometry); total energy = -5.612 eV/atom; size of the total moment = 0.0 Bohr magnetons per cell; energy relative to the elements = -1196 meV per atom
1.0
4.216 2.434 6.855
-4.216 2.434 6.855
0.000 -4.869 6.855
Ca Sm U As
4 3 1 8
direct
0.000 0.000 0.000
0.000 0.500 0.500
0.500 0.000 0.500
0.500 0.500 0.000
0.000 0.000 0.500
0.000 0.500 0.000
0.500 0.000 0.000
0.500 0.500 0.500
0.248 0.248 0.248
0.261 0.736 0.736
0.264 0.264 0.739
0.264 0.739 0.264
0.736 0.261 0.736
0.736 0.736 0.261
0.739 0.264 0.264
0.752 0.752 0.752